1.
This record from Alexandria via LeMat-Bulk describes a geometry-optimized TbHo4Th structure. The functional is PBE.

Cell and atoms, written as POSCAR:
```
TbHo4Th
1.0
-0.323 3.523 0.068
-8.584 -2.615 2.720
11.452 0.985 2.453
Tb Ho Th
1 4 1
direct
0.500 0.000 0.500
0.829 0.658 0.495
0.171 0.342 0.505
0.336 0.672 0.002
0.664 0.327 0.998
0.000 0.000 0.000
```

Calculated values
The volume is 31.39 A^3/atom. The energy relative to the lowest polymorph listed for this composition comes out at 0 kJ/mol of formula units. The value obtained for the total DFT energy (no corrections) is -5.037 eV per atom.



2.
This record from Alexandria via LeMat-Bulk describes a geometry-optimized Tb12HoTh7 structure. The functional is PBE.

Cell and atoms, written as POSCAR:
```
Tb12HoTh7
1.0
9.435 0.000 -3.336
-4.718 8.171 -3.336
0.000 0.000 10.007
Tb Ho Th
12 1 7
direct
0.493 0.748 0.746
0.002 0.748 0.254
0.507 0.252 0.254
0.998 0.252 0.746
0.746 0.998 0.252
0.746 0.493 0.748
0.254 0.002 0.748
0.254 0.507 0.252
0.748 0.746 0.493
0.252 0.254 0.507
0.748 0.254 0.002
0.252 0.746 0.998
0.000 0.000 0.000
0.500 0.500 0.000
0.000 0.500 0.500
0.500 0.000 0.500
0.500 0.500 0.500
0.000 0.000 0.500
0.500 0.000 0.000
0.000 0.500 0.000
```

Calculated values
The volume is 38.58 A^3/atom. The value obtained for the total DFT energy (no corrections) is -4.659 eV per atom.



Among the records above, which one has the lowest total DFT energy (no corrections)?
TbHo4Th



The highest volume belongs to which entry?
Tb12HoTh7



The lowest volume belongs to which entry?
TbHo4Th



Which of these has the lowest total DFT energy (no corrections)?
TbHo4Th